[1]
Density functional theory data (PBE-GGA) for DyHoCl6 after structural relaxation.

abc: 6.8520 6.8520 6.4391
angles: 100.28 100.28 120.14
Element x y z (fractional)
Cl 0.9391 0.5813 0.2412
Cl 0.5786 0.9380 0.2415
Cl 0.2223 0.2209 0.2464
Cl 0.7791 0.7777 0.7536
Cl 0.0620 0.4214 0.7585
Cl 0.4187 0.0609 0.7588
Dy 0.8345 0.1655 0.0000
Ho 0.1656 0.8344 0.0000

Summary:
final energy: -0.1768 hartree per atom
SG: No. 5

[2]
Density functional theory data (PBE-GGA) for SrLu2Al7Ag2 after structural relaxation.

abc: 9.3733 9.3733 9.3733
angles: 34.58 34.58 34.58
Element x y z (fractional)
Ag 0.3356 0.3356 0.3356
Ag 0.6644 0.6644 0.6644
Al 0.5899 0.5899 0.0769
Al 0.9231 0.4101 0.4101
Al 0.4101 0.9231 0.4101
Al 0.5000 0.5000 0.5000
Al 0.5899 0.0769 0.5899
Al 0.0769 0.5899 0.5899
Al 0.4101 0.4101 0.9231
Lu 0.1435 0.1435 0.1435
Lu 0.8565 0.8565 0.8565
Sr 0.0000 0.0000 0.0000

Summary:
final energy: -0.1451 hartree per atom
SG: No. 166

- Which value of final energy does entry 2 give?
  -0.1451 hartree per atom